*i*
An optimized crystal structure of Pm2Nd8Tl, computed with PBE-GGA.

Values from the calculation:
As for the space group: Immm. The density of states at the Fermi level is 16.85 states/eV/f.u. The spin magnetization comes out at 0.00 Bohr magnetons per cell.

Cell: 10.044 10.044 10.044 Å, 147.30 134.59 57.08°
Fractional positions:
1 Pm 0.192 0.192 0.000
2 Pm 0.808 0.808 0.000
3 Nd 0.090 0.363 0.727
4 Nd 0.241 0.000 0.241
5 Nd 0.322 0.822 0.500
6 Nd 0.364 0.637 0.727
7 Nd 0.636 0.363 0.273
8 Nd 0.678 0.178 0.500
9 Nd 0.759 0.000 0.759
10 Nd 0.910 0.637 0.273
11 Tl 0.500 0.500 0.000

***

*ii*
An optimized crystal structure of Pm2Nd8Tl, computed with PBE-GGA.

Values from the calculation:
As for the space group: C2/m. The density of states at the Fermi level is 14.45 states/eV/f.u. The spin magnetization comes out at 0.00 Bohr magnetons per cell.

Cell: 9.620 9.620 8.156 Å, 104.85 104.85 30.73°
Fractional positions:
1 Pm 0.224 0.224 0.134
2 Pm 0.776 0.776 0.866
3 Nd 0.044 0.044 0.227
4 Nd 0.137 0.137 0.678
5 Nd 0.322 0.322 0.592
6 Nd 0.410 0.410 0.058
7 Nd 0.590 0.590 0.942
8 Nd 0.678 0.678 0.408
9 Nd 0.863 0.863 0.322
10 Nd 0.956 0.956 0.773
11 Tl 0.500 0.500 0.500

***

Which of them is most stable, and which least? Most stable: *ii*; least stable: *i*.

***

*i*
An optimized crystal structure of PmNd3Tl2, computed with PBE-GGA.

Values from the calculation:
As for the space group: C2/m. The density of states at the Fermi level is 7.08 states/eV/f.u. The spin magnetization comes out at 0.00 Bohr magnetons per cell.

Cell: 9.020 9.020 9.597 Å, 119.67 119.67 35.13°
Fractional positions:
1 Pm 0.127 0.127 0.174
2 Pm 0.873 0.873 0.826
3 Nd 0.057 0.057 0.715
4 Nd 0.304 0.304 0.997
5 Nd 0.380 0.380 0.450
6 Nd 0.620 0.620 0.550
7 Nd 0.696 0.696 0.003
8 Nd 0.943 0.943 0.285
9 Tl 0.229 0.229 0.591
10 Tl 0.482 0.482 0.830
11 Tl 0.518 0.518 0.170
12 Tl 0.771 0.771 0.409

***

*ii*
An optimized crystal structure of PmNd3Tl2, computed with PBE-GGA.

Values from the calculation:
As for the space group: Pmc2_1. The density of states at the Fermi level is 7.17 states/eV/f.u. The spin magnetization comes out at 0.00 Bohr magnetons per cell.

Cell: 5.283 10.347 6.918 Å, 90.00 90.00 90.00°
Fractional positions:
1 Pm 0.000 0.043 0.000
2 Pm 0.000 0.957 0.500
3 Nd 0.000 0.316 0.636
4 Nd 0.000 0.684 0.136
5 Nd 0.500 0.182 0.271
6 Nd 0.500 0.457 0.905
7 Nd 0.500 0.543 0.405
8 Nd 0.500 0.818 0.771
9 Tl 0.000 0.363 0.161
10 Tl 0.000 0.637 0.661
11 Tl 0.500 0.136 0.746
12 Tl 0.500 0.864 0.246

***

Which of them is most stable, and which least? Most stable: *ii*; least stable: *i*.

***

*i*
An optimized crystal structure of PmNd3Tl4, computed with PBE-GGA.

Values from the calculation:
As for the space group: P4/mmm. The density of states at the Fermi level is 7.54 states/eV/f.u. The spin magnetization comes out at 0.00 Bohr magnetons per cell.

Cell: 3.900 3.900 15.609 Å, 90.00 90.00 90.00°
Fractional positions:
1 Pm 0.000 0.000 0.000
2 Nd 0.000 0.000 0.249
3 Nd 0.000 0.000 0.500
4 Nd 0.000 0.000 0.751
5 Tl 0.500 0.500 0.123
6 Tl 0.500 0.500 0.374
7 Tl 0.500 0.500 0.626
8 Tl 0.500 0.500 0.877

***

*ii*
An optimized crystal structure of PmNd3Tl4, computed with PBE-GGA.

Values from the calculation:
As for the space group: Immm. The density of states at the Fermi level is 7.35 states/eV/f.u. The spin magnetization comes out at 0.24 Bohr magnetons per cell.

Cell: 10.220 10.220 10.220 Å, 159.01 137.58 47.79°
Fractional positions:
1 Pm 0.000 0.000 0.000
2 Nd 0.216 0.716 0.500
3 Nd 0.500 0.500 0.000
4 Nd 0.784 0.284 0.500
5 Tl 0.162 0.873 0.289
6 Tl 0.416 0.127 0.289
7 Tl 0.584 0.873 0.711
8 Tl 0.838 0.127 0.711

***

Which of them is most stable, and which least? Most stable: *i*; least stable: *ii*.

***

*i*
An optimized crystal structure of Pm3NdTl3, computed with PBE-GGA.

Values from the calculation:
As for the space group: P6_3/m. The density of states at the Fermi level is 6.17 states/eV/f.u. The spin magnetization comes out at 0.00 Bohr magnetons per cell.

Cell: 9.707 9.707 5.307 Å, 90.00 90.00 120.00°
Fractional positions:
1 Pm 0.002 0.240 0.250
2 Pm 0.238 0.998 0.250
3 Pm 0.240 0.238 0.750
4 Pm 0.760 0.762 0.250
5 Pm 0.762 0.002 0.750
6 Pm 0.998 0.760 0.750
7 Nd 0.333 0.667 0.750
8 Nd 0.667 0.333 0.250
9 Tl 0.069 0.619 0.250
10 Tl 0.381 0.450 0.250
11 Tl 0.450 0.069 0.750
12 Tl 0.550 0.931 0.250
13 Tl 0.619 0.550 0.750
14 Tl 0.931 0.381 0.750

***

*ii*
An optimized crystal structure of Pm3NdTl3, computed with PBE-GGA.

Values from the calculation:
As for the space group: P2_13. The density of states at the Fermi level is 8.58 states/eV/f.u. The spin magnetization comes out at 0.00 Bohr magnetons per cell.

Cell: 9.581 9.581 9.581 Å, 90.00 90.00 90.00°
Fractional positions:
1 Pm 0.074 0.426 0.574
2 Pm 0.177 0.177 0.177
3 Pm 0.177 0.823 0.323
4 Pm 0.323 0.177 0.823
5 Pm 0.323 0.823 0.677
6 Pm 0.426 0.574 0.074
7 Pm 0.574 0.074 0.426
8 Pm 0.677 0.323 0.823
9 Pm 0.677 0.677 0.677
10 Pm 0.823 0.323 0.177
11 Pm 0.823 0.677 0.323
12 Pm 0.926 0.926 0.926
13 Nd 0.074 0.574 0.926
14 Nd 0.426 0.426 0.426
15 Nd 0.574 0.926 0.074
16 Nd 0.926 0.074 0.574
17 Tl 0.000 0.249 0.877
18 Tl 0.000 0.749 0.623
19 Tl 0.123 0.500 0.251
20 Tl 0.249 0.877 0.000
21 Tl 0.251 0.123 0.500
22 Tl 0.377 0.500 0.751
23 Tl 0.500 0.251 0.123
24 Tl 0.500 0.751 0.377
25 Tl 0.623 0.000 0.749
26 Tl 0.749 0.623 0.000
27 Tl 0.751 0.377 0.500
28 Tl 0.877 0.000 0.249

***

Which of them is most stable, and which least? Most stable: *ii*; least stable: *i*.

***

*i*
An optimized crystal structure of Pm2Nd3Tl4, computed with PBE-GGA.

Values from the calculation:
As for the space group: Cmce. The density of states at the Fermi level is 6.12 states/eV/f.u. The spin magnetization comes out at 0.00 Bohr magnetons per cell.

Cell: 8.871 8.871 9.738 Å, 90.00 90.00 130.43°
Fractional positions:
1 Pm 0.106 0.894 0.937
2 Pm 0.394 0.606 0.437
3 Pm 0.606 0.394 0.563
4 Pm 0.894 0.106 0.063
5 Nd 0.000 0.000 0.500
6 Nd 0.032 0.468 0.750
7 Nd 0.468 0.032 0.250
8 Nd 0.500 0.500 0.000
9 Nd 0.532 0.968 0.750
10 Nd 0.968 0.532 0.250
11 Tl 0.193 0.807 0.528
12 Tl 0.232 0.268 0.750
13 Tl 0.268 0.232 0.250
14 Tl 0.307 0.693 0.028
15 Tl 0.693 0.307 0.972
16 Tl 0.732 0.768 0.750
17 Tl 0.768 0.732 0.250
18 Tl 0.807 0.193 0.472

***

*ii*
An optimized crystal structure of Pm2Nd3Tl4, computed with PBE-GGA.

Values from the calculation:
As for the space group: C2/m. The density of states at the Fermi level is 9.87 states/eV/f.u. The spin magnetization comes out at 0.00 Bohr magnetons per cell.

Cell: 5.436 5.436 10.706 Å, 90.06 90.06 60.03°
Fractional positions:
1 Pm 0.167 0.167 0.280
2 Pm 0.833 0.833 0.720
3 Nd 0.166 0.166 0.922
4 Nd 0.500 0.500 0.500
5 Nd 0.834 0.834 0.078
6 Tl 0.166 0.166 0.601
7 Tl 0.500 0.500 0.153
8 Tl 0.500 0.500 0.847
9 Tl 0.834 0.834 0.399

***

Which of them is most stable, and which least? Most stable: *ii*; least stable: *i*.

***

*i*
An optimized crystal structure of Pm5NdTl2, computed with PBE-GGA.

Values from the calculation:
As for the space group: Pbam. The density of states at the Fermi level is 11.91 states/eV/f.u. The spin magnetization comes out at 0.00 Bohr magnetons per cell.

Cell: 7.020 14.047 4.976 Å, 90.00 90.00 90.00°
Fractional positions:
1 Pm 0.000 0.000 0.000
2 Pm 0.001 0.250 0.000
3 Pm 0.250 0.125 0.500
4 Pm 0.250 0.625 0.500
5 Pm 0.499 0.750 0.000
6 Pm 0.500 0.500 0.000
7 Pm 0.501 0.250 0.000
8 Pm 0.750 0.375 0.500
9 Pm 0.750 0.875 0.500
10 Pm 0.999 0.750 0.000
11 Nd 0.000 0.500 0.000
12 Nd 0.500 0.000 0.000
13 Tl 0.249 0.874 0.500
14 Tl 0.251 0.374 0.500
15 Tl 0.749 0.626 0.500
16 Tl 0.751 0.126 0.500

***

*ii*
An optimized crystal structure of Pm5NdTl2, computed with PBE-GGA.

Values from the calculation:
As for the space group: Immm. The density of states at the Fermi level is 10.92 states/eV/f.u. The spin magnetization comes out at 0.00 Bohr magnetons per cell.

Cell: 8.579 8.579 8.579 Å, 154.83 101.26 84.24°
Fractional positions:
1 Pm 0.000 0.000 0.000
2 Pm 0.085 0.363 0.722
3 Pm 0.360 0.637 0.722
4 Pm 0.640 0.363 0.278
5 Pm 0.915 0.637 0.278
6 Nd 0.500 0.000 0.500
7 Tl 0.269 0.269 0.000
8 Tl 0.731 0.731 0.000

***

Which of them is most stable, and which least? Most stable: *i*; least stable: *ii*.

***

*i*
An optimized crystal structure of Pm8Nd2Tl, computed with PBE-GGA.

Values from the calculation:
As for the space group: Immm. The density of states at the Fermi level is 16.14 states/eV/f.u. The spin magnetization comes out at 0.00 Bohr magnetons per cell.

Cell: 9.999 9.999 9.999 Å, 147.39 134.45 57.14°
Fractional positions:
1 Pm 0.136 0.364 0.773
2 Pm 0.178 0.178 0.000
3 Pm 0.259 0.000 0.259
4 Pm 0.409 0.636 0.773
5 Pm 0.591 0.364 0.227
6 Pm 0.741 0.000 0.741
7 Pm 0.822 0.822 0.000
8 Pm 0.864 0.636 0.227
9 Nd 0.307 0.807 0.500
10 Nd 0.693 0.193 0.500
11 Tl 0.000 0.500 0.500

***

*ii*
An optimized crystal structure of Pm8Nd2Tl, computed with PBE-GGA.

Values from the calculation:
As for the space group: C2/m. The density of states at the Fermi level is 14.27 states/eV/f.u. The spin magnetization comes out at 0.00 Bohr magnetons per cell.

Cell: 9.573 9.573 8.113 Å, 104.84 104.84 30.76°
Fractional positions:
1 Pm 0.044 0.044 0.226
2 Pm 0.136 0.136 0.677
3 Pm 0.321 0.321 0.591
4 Pm 0.411 0.411 0.058
5 Pm 0.589 0.589 0.942
6 Pm 0.679 0.679 0.409
7 Pm 0.864 0.864 0.323
8 Pm 0.956 0.956 0.774
9 Nd 0.223 0.223 0.135
10 Nd 0.777 0.777 0.865
11 Tl 0.500 0.500 0.500

***

Which of them is most stable, and which least? Most stable: *ii*; least stable: *i*.

***

*i*
An optimized crystal structure of Pm2NdTl3, computed with PBE-GGA.

Values from the calculation:
As for the space group: Cmcm. The density of states at the Fermi level is 3.91 states/eV/f.u. The spin magnetization comes out at 0.00 Bohr magnetons per cell.

Cell: 14.878 14.878 6.809 Å, 90.00 90.00 165.50°
Fractional positions:
1 Pm 0.006 0.994 0.750
2 Pm 0.150 0.850 0.250
3 Pm 0.850 0.150 0.750
4 Pm 0.994 0.006 0.250
5 Nd 0.330 0.670 0.250
6 Nd 0.670 0.330 0.750
7 Tl 0.259 0.741 0.750
8 Tl 0.424 0.576 0.510
9 Tl 0.424 0.576 0.990
10 Tl 0.576 0.424 0.010
11 Tl 0.576 0.424 0.490
12 Tl 0.741 0.259 0.250

***

*ii*
An optimized crystal structure of Pm2NdTl3, computed with PBE-GGA.

Values from the calculation:
As for the space group: P4/mmm. The density of states at the Fermi level is 5.61 states/eV/f.u. The spin magnetization comes out at 0.00 Bohr magnetons per cell.

Cell: 3.872 3.872 11.786 Å, 90.00 90.00 90.00°
Fractional positions:
1 Pm 0.000 0.000 0.166
2 Pm 0.000 0.000 0.834
3 Nd 0.000 0.000 0.500
4 Tl 0.500 0.500 0.000
5 Tl 0.500 0.500 0.331
6 Tl 0.500 0.500 0.669

***

Which of them is most stable, and which least? Most stable: *ii*; least stable: *i*.

***

*i*
An optimized crystal structure of PmNd4Tl, computed with PBE-GGA.

Values from the calculation:
As for the space group: P4/mmm. The density of states at the Fermi level is 11.24 states/eV/f.u. The spin magnetization comes out at 0.00 Bohr magnetons per cell.

Cell: 4.231 4.231 11.055 Å, 90.00 90.00 90.00°
Fractional positions:
1 Pm 0.000 0.000 0.000
2 Nd 0.000 0.000 0.351
3 Nd 0.000 0.000 0.649
4 Nd 0.500 0.500 0.169
5 Nd 0.500 0.500 0.831
6 Tl 0.500 0.500 0.500

***

*ii*
An optimized crystal structure of PmNd4Tl, computed with PBE-GGA.

Values from the calculation:
As for the space group: P2_1/m. The density of states at the Fermi level is 7.11 states/eV/f.u. The spin magnetization comes out at 0.00 Bohr magnetons per cell.

Cell: 6.663 6.872 8.954 Å, 90.00 100.84 90.00°
Fractional positions:
1 Pm 0.195 0.250 0.493
2 Pm 0.805 0.750 0.507
3 Nd 0.082 0.003 0.824
4 Nd 0.082 0.497 0.824
5 Nd 0.321 0.750 0.562
6 Nd 0.421 0.750 0.168
7 Nd 0.579 0.250 0.832
8 Nd 0.679 0.250 0.438
9 Nd 0.918 0.503 0.176
10 Nd 0.918 0.997 0.176
11 Tl 0.349 0.250 0.130
12 Tl 0.651 0.750 0.870

***

Which of them is most stable, and which least? Most stable: *ii*; least stable: *i*.

***

*i*
An optimized crystal structure of PmNd2Tl, computed with PBE-GGA.

Values from the calculation:
As for the space group: Fm-3m. The density of states at the Fermi level is 5.86 states/eV/f.u. The spin magnetization comes out at 1.41 Bohr magnetons per cell.

Cell: 5.624 5.624 5.624 Å, 60.00 60.00 60.00°
Fractional positions:
1 Pm 0.000 0.000 0.000
2 Nd 0.250 0.250 0.250
3 Nd 0.750 0.750 0.750
4 Tl 0.500 0.500 0.500

***

*ii*
An optimized crystal structure of PmNd2Tl, computed with PBE-GGA.

Values from the calculation:
As for the space group: R3m. The density of states at the Fermi level is 5.70 states/eV/f.u. The spin magnetization comes out at 0.00 Bohr magnetons per cell.

Cell: 11.234 11.234 11.234 Å, 19.26 19.26 19.26°
Fractional positions:
1 Pm 0.000 0.000 0.000
2 Nd 0.244 0.244 0.244
3 Nd 0.423 0.423 0.423
4 Tl 0.833 0.833 0.833

***

Which of them is most stable, and which least? Most stable: *ii*; least stable: *i*.

***

*i*
An optimized crystal structure of PmNd2Tl, computed with PBE-GGA.

Values from the calculation:
As for the space group: P4/mmm. The density of states at the Fermi level is 6.95 states/eV/f.u. The spin magnetization comes out at 0.30 Bohr magnetons per cell.

Cell: 4.978 4.978 5.001 Å, 90.00 90.00 90.00°
Fractional positions:
1 Pm 0.000 0.000 0.000
2 Nd 0.000 0.500 0.500
3 Nd 0.500 0.000 0.500
4 Tl 0.500 0.500 0.000

***

*ii*
An optimized crystal structure of PmNd2Tl, computed with PBE-GGA.

Values from the calculation:
As for the space group: P4/mmm. The density of states at the Fermi level is 4.42 states/eV/f.u. The spin magnetization comes out at 0.00 Bohr magnetons per cell.

Cell: 3.700 3.700 9.502 Å, 90.00 90.00 90.00°
Fractional positions:
1 Pm 0.000 0.000 0.000
2 Nd 0.500 0.500 0.273
3 Nd 0.500 0.500 0.727
4 Tl 0.000 0.000 0.500

***

Which of them is most stable, and which least? Most stable: *i*; least stable: *ii*.